# 1
Material: CaLa2Sn3Rh4
Method: DFT, PBE
State: relaxed

Cell: 4.4286 4.4286 11.5689 Å, 90.00 90.00 90.00°
Space group P-4m2 (No. 115)
Asymmetric unit:
Ca: 0.0000 0.0000 0.0000 x1
La: 0.0000 0.5000 0.7377 x2
Sn: 0.0000 0.5000 0.3760 x2
Sn: 0.5000 0.5000 0.0000 x1
Rh: 0.0000 0.0000 0.5000 x1
Rh: 0.0000 0.5000 0.1488 x2
Rh: 0.5000 0.5000 0.5000 x1

Computed properties:
- Formation enthalpy at 0 K: -0.708 eV per atom
- Uncorrected energy: -6.035 eV per atom

# 2
Material: CaLaTaRh2
Method: DFT, PBE
State: relaxed

Cell: 4.9558 4.9558 5.2359 Å, 90.00 90.00 90.00°
Space group P4/mmm (No. 123)
Asymmetric unit:
Ca: 0.0000 0.0000 0.0000 x1
La: 0.5000 0.5000 0.5000 x1
Ta: 0.5000 0.5000 0.0000 x1
Rh: 0.0000 0.5000 0.5000 x2

Computed properties:
- Formation enthalpy at 0 K: 1.071 eV per atom
- Uncorrected energy: -5.626 eV per atom

# 3
Material: CaLaTe2Rh
Method: DFT, PBE
State: relaxed

Cell: 5.6586 5.6586 4.9215 Å, 90.00 90.00 90.00°
Space group P4/mmm (No. 123)
Asymmetric unit:
Ca: 0.0000 0.0000 0.0000 x1
La: 0.5000 0.5000 0.0000 x1
Te: 0.0000 0.5000 0.5000 x2
Rh: 0.5000 0.5000 0.5000 x1

Computed properties:
- Uncorrected formation energy: -0.708 eV per atom
- Uncorrected energy: -4.820 eV per atom

# 4
Material: CaLa2TeRh
Method: DFT, PBE
State: relaxed

Cell: 6.0431 6.0431 4.9666 Å, 90.00 90.00 90.00°
Space group P4/mmm (No. 123)
Asymmetric unit:
Ca: 0.0000 0.0000 0.0000 x1
La: 0.0000 0.5000 0.5000 x2
Te: 0.5000 0.5000 0.5000 x1
Rh: 0.5000 0.5000 0.0000 x1

Computed properties:
- Uncorrected formation energy: -0.141 eV per atom
- Uncorrected energy: -4.611 eV per atom

# 5
Material: Ca2LaYRh
Method: DFT, PBE
State: relaxed

Cell: 5.6150 5.6150 5.3448 Å, 90.00 90.00 90.00°
Space group P4/mmm (No. 123)
Asymmetric unit:
Ca: 0.0000 0.5000 0.0000 x2
La: 0.0000 0.0000 0.5000 x1
Y: 0.5000 0.5000 0.5000 x1
Rh: 0.5000 0.5000 0.0000 x1

Computed properties:
- E above lowest polymorph: 0.000 eV per atom
- Formation enthalpy at 0 K: -0.157 eV per atom
- Uncorrected energy: -4.707 eV per atom

# 6
Material: CaLaY2Rh
Method: DFT, PBE
State: relaxed

Cell: 5.5546 5.5546 5.5663 Å, 90.00 90.00 90.00°
Space group P4/mmm (No. 123)
Asymmetric unit:
Ca: 0.0000 0.0000 0.0000 x1
La: 0.5000 0.5000 0.0000 x1
Y: 0.0000 0.5000 0.5000 x2
Rh: 0.5000 0.5000 0.5000 x1

Computed properties:
- E above lowest polymorph: 0.000 eV per atom
- Formation enthalpy at 0 K: -0.292 eV per atom
- Uncorrected energy: -5.734 eV per atom

What is the formula in the fifth record?
Ca2LaYRh